Crystalline YHfAsSe2 at its relaxed geometry. Source: Alexandria, functional GGA-PBE.

Cell: 5.063 5.063 5.232 Å, 90.00 90.00 90.00°
Sites, in units of the cell vectors:
Se  0.500  0.000  0.000
Se  0.000  0.500  0.000
As  0.000  0.000  0.500
Y  0.500  0.500  0.500
Hf  0.000  0.000  0.000

Properties
E above lowest polymorph, meV per atom: 0
Total magnetic moment, μB/f.u.: 0.0
Total energy, eV per atom: -6.371
Volume, Å³/f.u.: 134.08
E_form (uncorrected), kJ/mol of formula units: -368
N(E_F), states/eV/f.u.: 0.98

***

Crystalline Y2CdNi at its relaxed geometry. Source: Alexandria, functional GGA-PBE.

Cell: 3.460 3.460 7.866 Å, 90.00 90.00 90.00°
Sites, in units of the cell vectors:
Y  0.500  0.500  0.283
Ni  0.500  0.500  0.736
Cd  0.000  0.000  0.548
Y  0.000  0.000  0.932

Properties
Total magnetic moment, μB/f.u.: 0.7
Total energy, eV per atom: -5.042
Formation energy from the elements, meV per atom: -136
Volume, Å³/f.u.: 94.16
N(E_F), states/eV/f.u.: 3.92